SrTaNO2: optimized geometry, PBE-GGA.

Lattice parameters (Å, degrees): 5.626 5.626 8.525 90.00 90.00 90.00
Space group I4cm (No. 108)
Symmetry-distinct sites (fractional):
Sr 0.000 0.500 0.000
Ta 0.000 0.000 0.261
N 0.000 0.000 0.483
O 0.201 0.299 0.237

## Properties
total energy: -8.73 eV per atom